# 1
Density functional theory data (meta-GGA SCAN) for a crystal of RbIO2F relaxed with PBEsol.

Cell: 5.016 5.016 4.193 Å, 90.00 90.00 90.00°
Sites, in units of the cell vectors:
Rb 0.000 0.000 0.000
I 0.500 0.500 0.000
O 0.000 0.500 0.500
O 0.500 0.000 0.500
F 0.500 0.500 0.500

Computed properties:
Space group: No. 123

***

# 2
Density functional theory data (meta-GGA SCAN) for a crystal of RuIO2F relaxed with PBEsol.

Cell: 4.007 4.007 5.110 Å, 90.00 90.00 90.00°
Sites, in units of the cell vectors:
Ru 0.000 0.000 0.000
I 0.500 0.500 0.500
O 0.000 0.500 0.500
O 0.500 0.000 0.500
F 0.500 0.500 0.000

Computed properties:
Space group: No. 123

***

# 3
Density functional theory data (meta-GGA SCAN) for a crystal of RuIO2F relaxed with PBEsol.

Cell: 3.879 3.879 4.339 Å, 90.00 90.00 90.00°
Sites, in units of the cell vectors:
Ru 0.000 0.000 0.000
I 0.500 0.500 0.500
O 0.000 0.500 0.000
O 0.500 0.000 0.000
F 0.000 0.000 0.500

Computed properties:
Space group: No. 123

***

Uncorrected energy for every record listed, in sequence, given in eV/atom: -14.800; -17.009; -17.891.
Spin magnetization for every record listed, in sequence, given in μB per cell: 2.997; 3.221; 0.002.
Energy relative to the elements, uncorrected for every record listed, in sequence, given in kJ/mol of atoms: -9.98; 48.71; -36.34.